# 1
A geometry-optimized LaInAsBr2 structure, computed with PBE-GGA.

Lattice parameters (Å, degrees): 5.412 5.412 5.397 90.00 90.00 90.00
Element x y z (fractional)
Br 0.000 0.500 0.000
Br 0.500 0.000 0.000
In 0.000 0.000 0.000
As 0.000 0.000 0.500
La 0.500 0.500 0.500

The value obtained for the final energy is -3.61 eV per atom. The total magnetization comes out at 0.34 Bohr magnetons per cell. The value obtained for the energy above the most stable polymorph in this dataset is 30.88 kJ per mole of atoms.

***

# 2
A geometry-optimized AcSm2Ir structure, computed with PBE-GGA.

Lattice parameters (Å, degrees): 4.018 6.589 9.777 90.00 90.00 107.78
Element x y z (fractional)
Sm 0.647 0.293 0.431
Sm 0.353 0.707 0.569
Sm 0.647 0.293 0.069
Sm 0.353 0.707 0.931
Ir 0.761 0.521 0.750
Ir 0.239 0.479 0.250
Ac 0.924 0.849 0.250
Ac 0.076 0.151 0.750

The value obtained for the formation energy is -0.434 eV per atom. The value obtained for the final energy is -6.04 eV per atom. The total magnetization comes out at 0.00 Bohr magnetons per cell. The value obtained for the energy above the most stable polymorph in this dataset is 2.55 kJ per mole of atoms.

***

# 3
A geometry-optimized Ho2TiNi structure, computed with PBE-GGA.

Lattice parameters (Å, degrees): 3.353 3.353 9.930 80.28 80.28 60.00
Element x y z (fractional)
Ni 0.500 0.500 0.500
Ho 0.898 0.898 0.306
Ho 0.102 0.102 0.694
Ti 0.000 0.000 0.000

The value obtained for the formation energy is 0.336 eV per atom. The value obtained for the final energy is -5.37 eV per atom. The total magnetization comes out at 1.84 Bohr magnetons per cell. The value obtained for the energy above the most stable polymorph in this dataset is 38.66 kJ per mole of atoms.

***

# 4
A geometry-optimized CaSiNi3 structure, computed with PBE-GGA.

Lattice parameters (Å, degrees): 5.023 7.551 6.191 127.57 113.93 90.00
Element x y z (fractional)
Ni 0.778 0.778 0.057
Ni 0.278 0.778 0.057
Ni 0.250 0.895 0.500
Ni 0.750 0.105 0.500
Ni 0.222 0.222 0.943
Ni 0.722 0.222 0.943
Si 0.000 0.500 0.000
Si 0.500 0.000 0.000
Ca 0.250 0.303 0.500
Ca 0.750 0.697 0.500

The value obtained for the final energy is -5.32 eV per atom. The total magnetization comes out at 0.00 Bohr magnetons per cell. The value obtained for the energy above the most stable polymorph in this dataset is 0.00 kJ per mole of atoms.

***

Among the records above, which one has the highest energy above the most stable polymorph in this dataset?
Ho2TiNi

***

Among the records above, which one has the highest final energy?
LaInAsBr2

***

Which of these has the highest energy above the most stable polymorph in this dataset?
Ho2TiNi

***

What is the energy above the most stable polymorph in this dataset in the fourth record?
0.00 kJ per mole of atoms